This record from Alexandria via LeMat-Bulk describes a relaxed BeZnCrP2 crystal. The functional is PBE-GGA.

Calculated values
ΔE_f: 1.3672 eV/atom
E_tot: -3.72 eV per atom
magnetic moment: 0.13 Bohr magnetons per cell
V: 82.6 Å³ per cell

Cell: 4.5868 4.5868 3.9241 Å, 90.00 90.00 90.00°
Space group P4/mmm (No. 123)
Asymmetric unit:
Be1 0.0000 0.0000 0.0000 [1 per cell]
Zn1 0.0000 0.0000 0.5000 [1 per cell]
Cr1 0.5000 0.5000 0.0000 [1 per cell]
P1 0.0000 0.5000 0.5000 [2 per cell]

=====

This record from Alexandria via LeMat-Bulk describes a relaxed ZrBe2CrP crystal. The functional is PBE-GGA.

Calculated values
ΔE_f: 0.3352 eV/atom
E_tot: -5.87 eV per atom
magnetic moment: 0.00 Bohr magnetons per cell
V: 70.5 Å³ per cell

Cell: 4.0757 4.0757 4.2419 Å, 90.00 90.00 90.00°
Space group P4/mmm (No. 123)
Asymmetric unit:
Zr1 0.0000 0.0000 0.0000 [1 per cell]
Be1 0.0000 0.5000 0.5000 [2 per cell]
Cr1 0.5000 0.5000 0.0000 [1 per cell]
P1 0.5000 0.5000 0.5000 [1 per cell]

=====

This record from Alexandria via LeMat-Bulk describes a relaxed PaBe17Cr crystal. The functional is PBE-GGA.

Calculated values
ΔE_f: -0.0071 eV/atom
E_tot: -4.35 eV per atom
magnetic moment: 6.37 Bohr magnetons per cell
V: 543.6 Å³ per cell

Cell: 7.5584 7.5584 10.9873 Å, 90.00 90.00 120.00°
Space group R3m (No. 160, hexagonal axes)
Asymmetric unit:
Pa1 0.0000 0.0000 0.0000 [3 per cell]
Be1 0.0000 0.0000 0.5576 [3 per cell]
Be2 0.0000 0.0000 0.7512 [3 per cell]
Be3 0.0483 0.3753 0.3243 [18 per cell]
Be4 0.1686 0.3372 0.4924 [9 per cell]
Be5 0.1691 0.3382 0.8360 [9 per cell]
Be6 0.1723 0.3447 0.1466 [9 per cell]
Cr1 0.0000 0.0000 0.3261 [3 per cell]

=====

This record from Alexandria via LeMat-Bulk describes a relaxed Pa2Be16Cr crystal. The functional is PBE-GGA.

Calculated values
ΔE_f: -0.0587 eV/atom
E_tot: -4.70 eV per atom
magnetic moment: 0.00 Bohr magnetons per cell
V: 600.5 Å³ per cell

Cell: 7.9054 7.9054 11.0954 Å, 90.00 90.00 120.00°
Space group R3m (No. 160, hexagonal axes)
Asymmetric unit:
Pa1 0.0000 0.0000 0.0000 [3 per cell]
Pa2 0.0000 0.0000 0.3326 [3 per cell]
Be1 0.0000 0.0000 0.7464 [3 per cell]
Be2 0.0014 0.2716 0.6505 [18 per cell]
Be3 0.0020 0.5010 0.4970 [9 per cell]
Be4 0.0047 0.5024 0.8158 [9 per cell]
Be5 0.1705 0.3411 0.4875 [9 per cell]
Cr1 0.0000 0.0000 0.5349 [3 per cell]

=====

This record from Alexandria via LeMat-Bulk describes a relaxed Be2CrPb crystal. The functional is PBE-GGA.

Calculated values
ΔE_f: 0.9614 eV/atom
E_tot: -4.23 eV per atom
magnetic moment: 0.00 Bohr magnetons per cell
V: 238.9 Å³ per cell

Cell: 6.7486 6.7486 5.2460 Å, 90.00 90.00 90.00°
Space group I-42d (No. 122)
Asymmetric unit:
Be1 0.2125 0.2500 0.1250 [8 per cell]
Cr1 0.0000 0.0000 0.0000 [4 per cell]
Pb1 0.0000 0.0000 0.5000 [4 per cell]

=====

This record from Alexandria via LeMat-Bulk describes a relaxed BeCr2Pb crystal. The functional is PBE-GGA.

Calculated values
ΔE_f: 0.9106 eV/atom
E_tot: -5.76 eV per atom
magnetic moment: 0.01 Bohr magnetons per cell
V: 248.6 Å³ per cell

Cell: 3.7044 3.7044 18.1189 Å, 90.00 90.00 90.00°
Space group I-42d (No. 122)
Asymmetric unit:
Be1 0.0000 0.0000 0.0000 [4 per cell]
Cr1 0.1655 0.7500 0.1250 [8 per cell]
Pb1 0.0000 0.0000 0.5000 [4 per cell]